# La2H4S GGA-PBE optimized geometry
# Calculated total energy, eV per atom: -4.967
data_La2H4S
_symmetry_space_group_name_H-M 'R -3 m'
_symmetry_Int_Tables_number 166
_symmetry_space_group_name_Hall '-R 3 2"'
_cell_length_a 4.0067
_cell_length_b 4.0067
_cell_length_c 21.9466
_cell_angle_alpha 90.00
_cell_angle_beta 90.00
_cell_angle_gamma 120.00
loop_
_atom_site_label
_atom_site_type_symbol
_atom_site_fract_x
_atom_site_fract_y
_atom_site_fract_z
La1 La 0.0000 0.0000 0.2459
H1 H 0.0000 0.0000 0.1353
H2 H 0.0000 0.0000 0.4312
S1 S 0.0000 0.0000 0.0000